A relaxed structure of SrSn2PbBr8, computed with PBE-GGA.

## Properties
The calculation puts the formation energy from raw total energies at -1126 meV/atom. Its crystal system is triclinic. The calculation puts the mass density at 4.28 g/cm³. Its electronic total energy is -3.357 eV/atom.

abc: 6.894 7.232 9.106
angles: 90.00 89.99 89.79
Space group P-1 (No. 2)
Asymmetric unit:
Sr1 0.000 0.000 0.000 (multiplicity 1)
Sn1 0.500 0.500 0.251 (multiplicity 2)
Pb1 0.000 0.000 0.500 (multiplicity 1)
Br1 0.243 0.838 0.251 (multiplicity 2)
Br2 0.243 0.838 0.749 (multiplicity 2)
Br3 0.263 0.342 0.501 (multiplicity 2)
Br4 0.265 0.344 0.999 (multiplicity 2)

A relaxed structure of MnNi2RhN, computed with PBE-GGA.

## Properties
The calculation puts the formation energy from raw total energies at 35 meV/atom. Its crystal system is tetragonal. The calculation puts the mass density at 8.18 g/cm³. Its electronic total energy is -7.246 eV/atom.

abc: 3.790 3.790 4.090
angles: 90.00 90.00 90.00
Space group P4/mmm (No. 123)
Asymmetric unit:
Mn1 0.000 0.000 0.000 (multiplicity 1)
Ni1 0.000 0.500 0.500 (multiplicity 2)
Rh1 0.500 0.500 0.000 (multiplicity 1)
N1 0.500 0.500 0.500 (multiplicity 1)

A relaxed structure of AcMgCd, computed with PBE-GGA.

## Properties
As for the formation energy: -0.251 eV per atom. Its crystal system is hexagonal. The calculation puts the mass density at 6.63 g/cm³. Its electronic total energy is -2.457 eV/atom.

abc: 7.9186 7.9186 5.0360
angles: 90.00 90.00 120.00
Space group P-62m (No. 189)
Asymmetric unit:
Ac1 0.0000 0.5747 0.0000 (multiplicity 3)
Mg1 0.0000 0.2325 0.5000 (multiplicity 3)
Cd1 0.0000 0.0000 0.0000 (multiplicity 1)
Cd2 0.3333 0.6667 0.5000 (multiplicity 2)

What did the second record say?
A relaxed structure of MnNi2RhN, computed with PBE-GGA.

## Properties
The calculation puts the formation energy from raw total energies at 35 meV/atom. Its crystal system is tetragonal. The calculation puts the mass density at 8.18 g/cm³. Its electronic total energy is -7.246 eV/atom.

abc: 3.790 3.790 4.090
angles: 90.00 90.00 90.00
Space group P4/mmm (No. 123)
Asymmetric unit:
Mn1 0.000 0.000 0.000 (multiplicity 1)
Ni1 0.000 0.500 0.500 (multiplicity 2)
Rh1 0.500 0.500 0.000 (multiplicity 1)
N1 0.500 0.500 0.500 (multiplicity 1)

Q: Which of these has the highest mass density?
A: MnNi2RhN

Q: Look up the electronic total energy of the first one.
A: -3.357 eV/atom

Q: Which formula does entry 1 have?
A: SrSn2PbBr8